Here is a geometry-optimized AlAuC structure from Alexandria via LeMat-Bulk. Energies are from PBE.

DOS at the Fermi energy, states/eV/cell: 1.02
Mass density, Mg/m³: 9.43
Energy relative to the elements, eV/atom: 0.08
Total DFT energy (no corrections), Ry per atom: -0.39230
Volume, A^3/atom: 13.9
Total magnetization, μB per formula unit: 0.00

Structure (POSCAR):
```
AlAuC
1.0
10.155 0.006 0.002
-0.471 3.057 -0.020
-0.001 -1.562 2.687
Al C Au
2 2 2
Cartesian
7.327 0.885 1.876
3.886 0.351 1.562
4.795 2.052 0.754
6.110 2.255 0.874
1.572 1.561 2.263
9.483 1.223 0.274
```